*P*
Density functional theory data (PBE-GGA) for a relaxed structure of LaAsH3.

a b c (Å): 4.3001 4.3001 4.3001
angles (deg): 90.00 90.00 90.00
With the nearest neighbours (Å) after each atom.
Sites, in units of the cell vectors:
La 0.0000 0.0000 0.0000  6 H 2.15
As 0.5000 0.5000 0.5000  12 H 3.04
H 0.0000 0.0000 0.5000  2 La 2.15
H 0.0000 0.5000 0.0000  2 La 2.15
H 0.5000 0.0000 0.0000  2 La 2.15

=====

*Q*
Density functional theory data (PBE-GGA) for a relaxed structure of LaAsH3.

a b c (Å): 3.9293 3.9293 3.9293
angles (deg): 90.00 90.00 90.00
With the nearest neighbours (Å) after each atom.
Sites, in units of the cell vectors:
La 0.0000 0.0000 0.0000  12 H 2.78
As 0.5000 0.5000 0.5000  6 H 1.96
H 0.0000 0.5000 0.5000  2 As 1.96
H 0.5000 0.0000 0.5000  2 As 1.96
H 0.5000 0.5000 0.0000  2 As 1.96

=====

Relative energies, meV per atom: *P* 190; *Q* 0.

=====

*P*
Density functional theory data (PBE-GGA) for a relaxed structure of La2As2H.

a b c (Å): 9.1935 9.1935 5.9803
angles (deg): 90.00 90.00 152.16
With the nearest neighbours (Å) after each atom.
Sites, in units of the cell vectors:
La 0.0853 0.9147 0.5000  1 H 2.38
La 0.3272 0.6728 0.4761  2 H 2.45
La 0.6728 0.3272 0.9761  2 H 2.45
La 0.9147 0.0853 0.0000  1 H 2.38
As 0.2933 0.7067 0.9803  6 La 3.03-3.10, 1 H 3.11
As 0.4964 0.5036 0.7318  2 As 2.99, 4 La 3.05-3.10, 2 H 3.28
As 0.5036 0.4964 0.2318  2 As 2.99, 4 La 3.05-3.10, 2 H 3.28
As 0.7067 0.2933 0.4803  6 La 3.03-3.10, 1 H 3.11
H 0.1224 0.8776 0.8826  3 La 2.38-2.45
H 0.8776 0.1224 0.3826  3 La 2.38-2.45

=====

*Q*
Density functional theory data (PBE-GGA) for a relaxed structure of La2As2H.

a b c (Å): 7.5245 7.5245 4.2940
angles (deg): 90.00 90.00 90.00
With the nearest neighbours (Å) after each atom.
Sites, in units of the cell vectors:
La 0.1859 0.3141 0.0000  2 H 2.75, 2 As 3.00
La 0.3141 0.8141 0.0000  2 H 2.75, 2 As 3.00
La 0.6859 0.1859 0.0000  2 H 2.75, 2 As 3.00
La 0.8141 0.6859 0.0000  2 H 2.75, 2 As 3.00
As 0.1172 0.6172 0.5000  1 As 2.49
As 0.3828 0.1172 0.5000  1 As 2.49
As 0.6172 0.8828 0.5000  1 As 2.49
As 0.8828 0.3828 0.5000  1 As 2.49
H 0.0000 0.0000 0.0000  4 La 2.75
H 0.5000 0.5000 0.0000  4 La 2.75

=====

Relative energies, meV per atom: *P* 0; *Q* 115.

=====

*P*
Density functional theory data (PBE-GGA) for a relaxed structure of LaAsH.

a b c (Å): 4.2937 4.2937 6.8353
angles (deg): 101.87 101.87 92.03
With the nearest neighbours (Å) after each atom.
Sites, in units of the cell vectors:
La 0.1207 0.8793 0.5000  3 H 2.30-2.41
La 0.8793 0.1207 0.0000  3 H 2.30-2.41
As 0.4633 0.6436 0.1468  4 H 2.84-3.04, 4 La 3.06-3.16
As 0.6436 0.4633 0.6468  4 H 2.84-3.04, 4 La 3.06-3.16
H 0.0188 0.3155 0.3487  3 La 2.30-2.41
H 0.3155 0.0188 0.8487  3 La 2.30-2.41

=====

*Q*
Density functional theory data (PBE-GGA) for a relaxed structure of LaAsH.

a b c (Å): 4.2092 4.4935 6.2211
angles (deg): 90.00 109.82 90.00
With the nearest neighbours (Å) after each atom.
Sites, in units of the cell vectors:
La 0.1463 0.2500 0.2928  4 H 2.43-2.55
La 0.8537 0.7500 0.7072  4 H 2.43-2.55
As 0.4395 0.2500 0.8769  2 As 2.67
As 0.5605 0.7500 0.1231  2 As 2.67
H 0.2490 0.7500 0.4980  4 La 2.43-2.55
H 0.7510 0.2500 0.5020  4 La 2.43-2.55

=====

Relative energies, meV per atom: *P* 190; *Q* 0.

=====

*P*
Density functional theory data (PBE-GGA) for a relaxed structure of LaAsH2Rh.

a b c (Å): 5.6744 5.6744 6.6224
angles (deg): 90.00 90.00 138.62
With the nearest neighbours (Å) after each atom.
Sites, in units of the cell vectors:
La 0.2143 0.7857 0.7500  6 H 2.44-2.45
La 0.7857 0.2143 0.2500  6 H 2.44-2.45
As 0.0636 0.9364 0.2500  4 Rh 2.69, 1 La 2.95
As 0.9364 0.0636 0.7500  4 Rh 2.69, 1 La 2.95
H 0.3420 0.6580 0.0570  1 Rh 1.72
H 0.3420 0.6580 0.4430  1 Rh 1.72
H 0.6580 0.3420 0.5570  1 Rh 1.72
H 0.6580 0.3420 0.9430  1 Rh 1.72
Rh 0.5000 0.5000 0.0000  2 H 1.72
Rh 0.5000 0.5000 0.5000  2 H 1.72

=====

*Q*
Density functional theory data (PBE-GGA) for a relaxed structure of LaAsH2Rh.

a b c (Å): 4.0084 4.0084 4.8750
angles (deg): 90.00 90.00 90.00
With the nearest neighbours (Å) after each atom.
Sites, in units of the cell vectors:
La 0.0000 0.0000 0.0000  4 Rh 2.83, 8 H 3.16
As 0.5000 0.5000 0.5000  4 H 2.00
H 0.0000 0.5000 0.5000  2 As 2.00
H 0.5000 0.0000 0.5000  2 As 2.00
Rh 0.5000 0.5000 0.0000  2 As 2.44

=====

Relative energies, meV per atom: *P* 0; *Q* 482.

=====

*P*
Density functional theory data (PBE-GGA) for a relaxed structure of LaAs2HSe.

a b c (Å): 5.9081 5.9081 5.7607
angles (deg): 90.00 90.00 90.00
With the nearest neighbours (Å) after each atom.
Sites, in units of the cell vectors:
La 0.0000 0.0000 0.0000  2 Se 2.88, 4 As 2.95
As 0.0000 0.5000 0.0000  2 La 2.95
As 0.5000 0.0000 0.0000  2 La 2.95
H 0.5000 0.5000 0.5000  8 As 4.13, 4 Se 4.18
Se 0.0000 0.0000 0.5000  2 La 2.88

=====

*Q*
Density functional theory data (PBE-GGA) for a relaxed structure of LaAs2HSe.

a b c (Å): 4.1916 4.1916 5.5622
angles (deg): 90.00 90.00 90.00
With the nearest neighbours (Å) after each atom.
Sites, in units of the cell vectors:
La 0.0000 0.0000 0.0000  4 Se 2.96
As 0.0000 0.5000 0.5000  2 H 2.10
As 0.5000 0.0000 0.5000  2 H 2.10
H 0.5000 0.5000 0.5000  4 As 2.10
Se 0.5000 0.5000 0.0000  2 H 2.78, 4 La 2.96

=====

Relative energies, meV per atom: *P* 1179; *Q* 0.

=====

*P*
Density functional theory data (PBE-GGA) for a relaxed structure of Li2AsH2.

a b c (Å): 6.4912 6.4912 2.8891
angles (deg): 90.00 90.00 90.00
With the nearest neighbours (Å) after each atom.
Sites, in units of the cell vectors:
Li 0.2212 0.2788 0.0000  6 H 2.52-2.61, 4 As 2.72
Li 0.2788 0.7788 0.0000  6 H 2.52-2.61, 4 As 2.72
Li 0.7212 0.2212 0.0000  6 H 2.52-2.61, 4 As 2.72
Li 0.7788 0.7212 0.0000  6 H 2.52-2.61, 4 As 2.72
As 0.0000 0.0000 0.5000  8 Li 2.72, 2 As 2.89, 4 H 2.98
As 0.5000 0.5000 0.5000  8 Li 2.72, 2 As 2.89, 4 H 2.98
H 0.0424 0.5424 0.5000  1 H 0.78
H 0.4576 0.0424 0.5000  1 H 0.78
H 0.5424 0.9576 0.5000  1 H 0.78
H 0.9576 0.4576 0.5000  1 H 0.78

=====

*Q*
Density functional theory data (PBE-GGA) for a relaxed structure of Li2AsH2.

a b c (Å): 4.6464 4.6464 4.6464
angles (deg): 140.74 113.28 80.24
With the nearest neighbours (Å) after each atom.
Sites, in units of the cell vectors:
Li 0.1976 0.1976 0.0000  4 H 2.14
Li 0.8024 0.8024 0.0000  4 H 2.14
As 0.5000 0.0000 0.5000  8 Li 2.66-2.92, 4 H 2.66
H 0.0784 0.5000 0.5784  1 H 0.80
H 0.9216 0.5000 0.4216  1 H 0.80

=====

Relative energies, meV per atom: *P* 0; *Q* 28.